(1)
A relaxed structure of MnCu2Pt2, computed with PBE.

Computed properties:
size of the total moment	0.3	μB per cell
energy relative to the elements	0.302	eV/atom
energy above the most stable polymorph in this dataset	326	meV per atom

extended XYZ file:
```
10
Lattice="7.100 0.000 0.000 0.000 7.100 0.000 0.000 0.000 2.790" Properties=species:S:1:pos:R:3 pbc="T T T"
Mn 0.000 0.000 0.000
Mn 3.550 3.550 0.000
Cu 0.844 2.706 0.000
Cu 2.706 6.256 0.000
Cu 4.394 0.844 0.000
Cu 6.256 4.394 0.000
Pt 1.278 4.828 1.395
Pt 2.272 1.278 1.395
Pt 4.828 5.822 1.395
Pt 5.822 2.272 1.395
```

(2)
A relaxed structure of LaTaSCl2, computed with PBE.

Computed properties:
raw formation energy	-0.771	eV per atom
size of the total moment	0.0	μB per cell
energy above the most stable polymorph in this dataset	0	meV per atom

extended XYZ file:
```
5
Lattice="4.834 0.000 0.000 0.000 4.834 0.000 0.000 0.000 4.805" Properties=species:S:1:pos:R:3 pbc="T T T"
La 0.000 0.000 0.000
Ta 2.417 2.417 2.403
S 2.417 2.417 0.000
Cl 0.000 2.417 2.403
Cl 2.417 0.000 2.403
```

(3)
A relaxed structure of Si2SbW, computed with PBE.

Computed properties:
raw formation energy	0.242	eV per atom
size of the total moment	0.0	μB per cell

extended XYZ file:
```
4
Lattice="3.244 0.000 0.000 0.000 3.244 0.000 0.000 0.000 6.631" Properties=species:S:1:pos:R:3 pbc="T T T"
Si 0.000 0.000 1.260
Si 0.000 0.000 5.371
Sb 1.622 1.622 3.315
W 1.622 1.622 0.000
```

(4)
A relaxed structure of Tc2SeF, computed with PBE.

Computed properties:
raw formation energy	0.029	eV per atom
size of the total moment	0.0	μB per cell
energy above the most stable polymorph in this dataset	0	meV per atom

extended XYZ file:
```
4
Lattice="0.000 2.987 2.987 2.987 0.000 2.987 2.987 2.987 0.000" Properties=species:S:1:pos:R:3 pbc="T T T"
Tc 1.494 1.494 1.494
Tc 4.481 4.481 4.481
Se 0.000 0.000 0.000
F 2.987 2.987 2.987
```

(5)
A relaxed structure of LaHoTh2S4, computed with PBE.

Computed properties:
raw formation energy	-1.933	eV per atom
size of the total moment	0.0	μB per cell

extended XYZ file:
```
8
Lattice="6.926 0.000 0.000 0.000 4.021 0.000 -2.315 0.000 6.657" Properties=species:S:1:pos:R:3 pbc="T T T"
La 0.000 0.000 0.000
Ho 3.463 2.011 0.000
Th -1.157 2.011 3.328
Th 2.306 0.000 3.328
S 1.225 2.011 1.644
S 0.062 0.000 5.057
S 4.549 0.000 1.600
S 3.387 2.011 5.013
```

(6)
A relaxed structure of Ba2AlF, computed with PBE.

Computed properties:
raw formation energy	-1.271	eV per atom
size of the total moment	0.0	μB per cell
energy above the most stable polymorph in this dataset	0	meV per atom

extended XYZ file:
```
8
Lattice="-3.980 3.980 4.518 3.980 -3.980 4.518 3.980 3.980 -4.518" Properties=species:S:1:pos:R:3 pbc="T T T"
Ba 1.990 1.377 -1.129
Ba 2.603 -1.990 5.647
Ba 1.990 2.603 3.388
Ba 1.377 5.970 1.129
Al 3.980 0.000 2.259
Al 0.000 0.000 4.518
F 0.000 0.000 0.000
F 0.000 3.980 2.259
```

(7)
A relaxed structure of BaSc4Hg, computed with PBE.

Computed properties:
size of the total moment	0.0	μB per cell
energy relative to the elements	0.309	eV/atom

extended XYZ file:
```
6
Lattice="0.000 4.407 4.407 4.407 0.000 4.407 4.407 4.407 0.000" Properties=species:S:1:pos:R:3 pbc="T T T"
Ba 0.000 0.000 0.000
Sc 3.319 3.319 3.319
Sc 5.495 5.495 3.319
Sc 5.495 3.319 5.495
Sc 3.319 5.495 5.495
Hg 6.611 6.611 6.611
```

(8)
A relaxed structure of MnBe2Os, computed with PBE.

Computed properties:
size of the total moment	2.0	μB per cell
energy relative to the elements	0.260	eV/atom

extended XYZ file:
```
4
Lattice="1.407 -2.140 0.000 1.407 2.140 0.000 0.000 0.000 7.602" Properties=species:S:1:pos:R:3 pbc="T T T"
Mn 0.000 0.000 0.000
Be 0.000 0.000 3.561
Be 1.407 0.000 1.797
Os 1.407 0.000 5.458
```

(9)
A relaxed structure of DyScHg6, computed with PBE.

Computed properties:
size of the total moment	0.0	μB per cell
energy relative to the elements	-0.262	eV/atom
energy above the most stable polymorph in this dataset	17	meV per atom

extended XYZ file:
```
8
Lattice="4.644 0.000 0.000 0.000 4.644 0.000 0.000 0.000 8.682" Properties=species:S:1:pos:R:3 pbc="T T T"
Dy 0.000 0.000 0.000
Sc 0.000 0.000 4.341
Hg 0.000 2.322 2.240
Hg 0.000 2.322 6.443
Hg 2.322 0.000 2.240
Hg 2.322 0.000 6.443
Hg 2.322 2.322 0.000
Hg 2.322 2.322 4.341
```

(10)
A relaxed structure of YTl2As, computed with PBE.

Computed properties:
size of the total moment	0.0	μB per cell
energy relative to the elements	-0.393	eV/atom
energy above the most stable polymorph in this dataset	113	meV per atom

extended XYZ file:
```
4
Lattice="5.069 -2.061 0.000 5.069 2.061 0.000 -1.871 0.000 5.222" Properties=species:S:1:pos:R:3 pbc="T T T"
Y 0.000 0.000 0.000
Tl 0.869 0.000 3.246
Tl 3.629 0.000 2.093
As 7.207 0.000 0.013
```

(11)
A relaxed structure of TaIn2As, computed with PBE.

Computed properties:
size of the total moment	0.0	μB per cell
energy relative to the elements	0.340	eV/atom

extended XYZ file:
```
4
Lattice="-2.022 2.022 4.996 2.022 -2.022 4.996 2.022 2.022 -4.996" Properties=species:S:1:pos:R:3 pbc="T T T"
Ta 0.000 0.000 0.000
In 2.022 0.000 2.498
In 0.000 2.022 2.498
As 0.000 0.000 4.996
```

(12)
A relaxed structure of TmScTeC, computed with PBE.

Computed properties:
raw formation energy	-0.817	eV per atom
size of the total moment	0.0	μB per cell

extended XYZ file:
```
4
Lattice="1.818 1.050 6.908 -1.818 1.050 6.908 0.000 -2.099 6.908" Properties=species:S:1:pos:R:3 pbc="T T T"
Tm 0.000 0.000 0.000
Sc 0.000 0.000 16.291
Te 0.000 0.000 4.595
C 0.000 0.000 8.219
```

(13)
A relaxed structure of Na3Er2TmTe6, computed with PBE.

Computed properties:
raw formation energy	-1.300	eV per atom
size of the total moment	0.0	μB per cell

extended XYZ file:
```
12
Lattice="3.805 -6.590 0.000 3.805 6.590 0.000 -2.536 0.000 7.564" Properties=species:S:1:pos:R:3 pbc="T T T"
Na 0.000 0.000 0.000
Na 3.805 2.202 0.000
Na 3.805 -2.202 0.000
Er 2.536 4.394 3.782
Er 2.536 -4.394 3.782
Tm 2.536 0.000 3.782
Te 1.272 2.190 2.044
Te 0.008 0.000 5.520
Te 1.272 -2.190 2.044
Te 3.801 2.190 5.520
Te 5.065 0.000 2.044
Te 3.801 -2.190 5.520
```

(14)
A relaxed structure of BaPu4S8, computed with PBE.

Computed properties:
raw formation energy	-1.639	eV per atom
size of the total moment	18.0	μB per cell
energy above the most stable polymorph in this dataset	0	meV per atom

extended XYZ file:
```
13
Lattice="6.955 -4.027 0.000 6.955 4.027 0.000 -6.828 0.000 7.499" Properties=species:S:1:pos:R:3 pbc="T T T"
Ba 0.000 0.000 0.000
Pu 3.541 1.986 3.750
Pu 0.083 0.000 3.995
Pu 6.998 0.000 3.504
Pu 3.541 -1.986 3.750
S -2.156 0.000 2.434
S 1.200 1.875 2.332
S 1.200 -1.875 2.332
S 4.624 0.000 2.290
S 2.457 0.000 5.209
S 5.882 1.875 5.167
S 5.882 -1.875 5.167
S 9.237 0.000 5.066
```

(15)
A relaxed structure of Ca3AsP, computed with PBE.

Computed properties:
size of the total moment	0.0	μB per cell
energy relative to the elements	-1.118	eV/atom
energy above the most stable polymorph in this dataset	0	meV per atom

extended XYZ file:
```
20
Lattice="8.421 0.000 0.000 0.000 7.910 0.000 -1.200 0.000 8.071" Properties=species:S:1:pos:R:3 pbc="T T T"
Ca 0.238 0.071 1.789
Ca -0.362 3.884 5.825
Ca 1.627 0.887 4.740
Ca 2.227 3.067 0.704
Ca 2.554 5.506 4.003
Ca 1.954 6.358 8.039
Ca 5.267 1.552 0.033
Ca 4.667 2.403 4.068
Ca 4.994 4.842 7.367
Ca 5.594 7.022 3.332
Ca 7.582 4.026 2.247
Ca 6.983 7.839 6.283
As 3.197 0.581 2.120
As 2.597 3.374 6.156
As 4.624 4.535 1.915
As 4.024 7.329 5.951
P 0.454 5.677 0.089
P -0.146 6.188 4.125
P 7.367 1.722 3.946
P 6.767 2.233 7.982
```

(16)
A relaxed structure of PmMg6Cd12, computed with PBE.

Computed properties:
size of the total moment	0.0	μB per cell
energy relative to the elements	0.013	eV/atom

extended XYZ file:
```
19
Lattice="6.398 3.694 3.304 -6.398 3.694 3.304 0.000 -7.388 3.304" Properties=species:S:1:pos:R:3 pbc="T T T"
Pm 0.000 0.000 0.000
Mg -2.574 -1.486 5.589
Mg 0.000 -2.972 4.323
Mg -2.574 1.486 4.323
Mg 2.574 -1.486 5.589
Mg 0.000 2.972 5.589
Mg 2.574 1.486 4.323
Cd -2.489 -4.310 4.956
Cd -4.977 0.000 4.956
Cd -1.572 -0.907 2.776
Cd 1.572 -0.907 2.776
Cd 0.000 1.815 2.776
Cd 2.489 -4.310 4.956
Cd -2.489 4.310 4.956
Cd 0.000 -1.815 7.136
Cd -1.572 0.907 7.136
Cd 1.572 0.907 7.136
Cd 4.977 0.000 4.956
Cd 2.489 4.310 4.956
```

(17)
A relaxed structure of Pr2NdMgTe5, computed with PBE.

Computed properties:
raw formation energy	-1.267	eV per atom
size of the total moment	0.0	μB per cell

extended XYZ file:
```
18
Lattice="2.207 -9.606 0.000 2.207 9.606 0.000 0.000 0.000 13.654" Properties=species:S:1:pos:R:3 pbc="T T T"
Pr 2.207 7.458 6.827
Pr 2.207 7.046 1.617
Pr 2.207 -7.046 8.444
Pr 2.207 -7.458 0.000
Nd 2.207 5.664 11.272
Nd 2.207 -5.664 4.445
Mg 2.207 0.981 3.727
Mg 2.207 -0.981 10.554
Te 2.207 8.686 12.165
Te 2.207 4.156 6.695
Te 2.207 3.546 2.178
Te 2.207 2.541 11.127
Te 2.207 0.088 8.079
Te 2.207 -0.088 1.252
Te 2.207 -2.541 4.300
Te 2.207 -3.546 9.005
Te 2.207 -4.156 13.522
Te 2.207 -8.686 5.338
```

(18)
A relaxed structure of HoGa8Cu4, computed with PBE.

Computed properties:
size of the total moment	0.0	μB per cell
energy relative to the elements	-0.212	eV/atom

extended XYZ file:
```
13
Lattice="-4.424 4.424 2.629 4.424 -4.424 2.629 4.424 4.424 -2.629" Properties=species:S:1:pos:R:3 pbc="T T T"
Ho 0.000 0.000 0.000
Ga 3.063 0.000 0.000
Ga 5.786 0.000 0.000
Ga 4.424 2.524 0.000
Ga 0.000 3.063 0.000
Ga 2.524 4.424 0.000
Ga 1.900 0.000 2.629
Ga 0.000 5.786 0.000
Ga 0.000 1.900 2.629
Cu 2.212 2.212 -1.315
Cu 2.212 -2.212 1.315
Cu -2.212 2.212 1.315
Cu 2.212 2.212 1.315
```

(19)
A relaxed structure of FePb3Br, computed with PBE.

Computed properties:
raw formation energy	1.042	eV per atom
size of the total moment	3.1	μB per cell
energy above the most stable polymorph in this dataset	1042	meV per atom

extended XYZ file:
```
5
Lattice="5.681 0.000 0.000 0.000 5.681 0.000 0.000 0.000 5.681" Properties=species:S:1:pos:R:3 pbc="T T T"
Fe 0.000 0.000 0.000
Pb 0.000 2.840 2.840
Pb 2.840 0.000 2.840
Pb 2.840 2.840 0.000
Br 2.840 2.840 2.840
```

(20)
A relaxed structure of HoZrAlCu, computed with PBE.

Computed properties:
size of the total moment	0.3	μB per cell
energy relative to the elements	-0.208	eV/atom

extended XYZ file:
```
4
Lattice="0.000 3.440 3.440 3.440 0.000 3.440 3.440 3.440 0.000" Properties=species:S:1:pos:R:3 pbc="T T T"
Ho 0.000 0.000 0.000
Zr 3.440 3.440 3.440
Al 5.160 5.160 5.160
Cu 1.720 1.720 1.720
```